Record 1
Compound: Al2AsH
Source: the Alexandria database
Functional: PBE-GGA
Structure: optimized geometry

a b c (Å): 6.228 6.228 6.228
angles (deg): 90.00 90.00 90.00
Space group Fm-3m (No. 225)
Asymmetric unit:
Al 0.250 0.250 0.250 [8 per cell]
As 0.000 0.000 0.000 [4 per cell]
H 0.000 0.000 0.500 [4 per cell]

- DFT total energy (eV/atom) = -3.5656


Record 2
Compound: AlAsH3
Source: the Alexandria database
Functional: PBE-GGA
Structure: optimized geometry

a b c (Å): 3.605 3.605 3.605
angles (deg): 90.00 90.00 90.00
Space group Pm-3m (No. 221)
Asymmetric unit:
Al 0.000 0.000 0.000 [1 per cell]
As 0.500 0.500 0.500 [1 per cell]
H 0.000 0.000 0.500 [3 per cell]

- DFT total energy (eV/atom) = -3.0994


Record 3
Compound: Al3AsH
Source: the Alexandria database
Functional: PBE-GGA
Structure: optimized geometry

a b c (Å): 5.030 5.030 5.030
angles (deg): 90.00 90.00 90.00
Space group Pm-3m (No. 221)
Asymmetric unit:
Al 0.000 0.000 0.500 [3 per cell]
As 0.000 0.000 0.000 [1 per cell]
H 0.500 0.500 0.500 [1 per cell]

- DFT total energy (eV/atom) = -2.7733


Record 4
Compound: Al2AsH6
Source: the Alexandria database
Functional: PBE-GGA
Structure: optimized geometry

a b c (Å): 7.182 7.182 7.182
angles (deg): 90.00 90.00 90.00
Space group Fm-3m (No. 225)
Asymmetric unit:
Al 0.250 0.250 0.250 [8 per cell]
As 0.000 0.000 0.000 [4 per cell]
H 0.000 0.000 0.237 [24 per cell]

- DFT total energy (eV/atom) = -2.9365


Record 5
Compound: AlHgAsH2
Source: the Alexandria database
Functional: PBE-GGA
Structure: optimized geometry

a b c (Å): 3.786 3.786 5.747
angles (deg): 90.00 90.00 90.00
Space group P4/mmm (No. 123)
Asymmetric unit:
Al 0.000 0.000 0.000 [1 per cell]
Hg 0.500 0.500 0.000 [1 per cell]
As 0.500 0.500 0.500 [1 per cell]
H 0.000 0.500 0.500 [2 per cell]

- DFT total energy (eV/atom) = -2.6211


Record 6
Compound: AlAsHIr2
Source: the Alexandria database
Functional: PBE-GGA
Structure: optimized geometry

a b c (Å): 4.753 4.753 3.109
angles (deg): 90.00 90.00 90.00
Space group P4/mmm (No. 123)
Asymmetric unit:
Al 0.000 0.000 0.000 [1 per cell]
As 0.500 0.500 0.500 [1 per cell]
H 0.500 0.500 0.000 [1 per cell]
Ir 0.000 0.500 0.500 [2 per cell]

- DFT total energy (eV/atom) = -5.6115


Record 7
Compound: KAlAsH2
Source: the Alexandria database
Functional: PBE-GGA
Structure: optimized geometry

a b c (Å): 4.344 12.435 6.096
angles (deg): 90.00 90.00 90.00
Space group Cmcm (No. 63)
Asymmetric unit:
K 0.000 0.218 0.250 [4 per cell]
Al 0.000 0.500 0.000 [4 per cell]
As 0.000 0.048 0.750 [4 per cell]
H 0.000 0.369 0.546 [8 per cell]

- DFT total energy (eV/atom) = -3.3759


Record 8
Compound: LaAl2AsH
Source: the Alexandria database
Functional: PBE-GGA
Structure: optimized geometry

a b c (Å): 6.213 6.213 5.585
angles (deg): 90.00 90.00 90.00
Space group P4/mmm (No. 123)
Asymmetric unit:
La 0.000 0.000 0.000 [1 per cell]
Al 0.000 0.500 0.000 [2 per cell]
As 0.000 0.000 0.500 [1 per cell]
H 0.500 0.500 0.500 [1 per cell]

- DFT total energy (eV/atom) = -2.8375


Record 9
Compound: MgAl2As2H18O18
Source: the Alexandria database
Functional: PBE-GGA
Structure: optimized geometry

a b c (Å): 5.433 7.048 10.513
angles (deg): 97.07 102.02 109.67
Space group P-1 (No. 2)
Asymmetric unit:
Mg 0.000 0.000 0.000 [1 per cell]
Al 0.500 0.000 0.500 [1 per cell]
Al 0.500 0.500 0.500 [1 per cell]
As 0.016 0.923 0.666 [2 per cell]
H 0.057 0.579 0.254 [2 per cell]
H 0.107 0.654 0.822 [2 per cell]
H 0.184 0.673 0.514 [2 per cell]
H 0.191 0.396 0.946 [2 per cell]
H 0.309 0.946 0.206 [2 per cell]
H 0.312 0.404 0.098 [2 per cell]
H 0.339 0.500 0.722 [2 per cell]
H 0.411 0.307 0.672 [2 per cell]
H 0.476 0.995 0.877 [2 per cell]
O 0.112 0.902 0.829 [2 per cell]
O 0.115 0.512 0.809 [2 per cell]
O 0.128 0.318 0.435 [2 per cell]
O 0.194 0.939 0.348 [2 per cell]
O 0.239 0.313 0.010 [2 per cell]
O 0.305 0.061 0.624 [2 per cell]
O 0.327 0.956 0.115 [2 per cell]
O 0.373 0.717 0.508 [2 per cell]
O 0.477 0.463 0.684 [2 per cell]

- DFT total energy (eV/atom) = -5.5176


Record 10
Compound: Mn2AlAsH
Source: the Alexandria database
Functional: PBE-GGA
Structure: optimized geometry

a b c (Å): 4.772 4.772 3.329
angles (deg): 90.00 90.00 90.00
Space group P4/mmm (No. 123)
Asymmetric unit:
Mn 0.000 0.500 0.000 [2 per cell]
Al 0.000 0.000 0.500 [1 per cell]
As 0.500 0.500 0.000 [1 per cell]
H 0.500 0.500 0.500 [1 per cell]

- DFT total energy (eV/atom) = -5.5990


Record 11
Compound: AlMo2AsH
Source: the Alexandria database
Functional: PBE-GGA
Structure: optimized geometry

a b c (Å): 4.299 4.299 3.429
angles (deg): 90.00 90.00 90.00
Space group P4/mmm (No. 123)
Asymmetric unit:
Al 0.000 0.000 0.000 [1 per cell]
Mo 0.000 0.500 0.500 [2 per cell]
As 0.500 0.500 0.000 [1 per cell]
H 0.000 0.000 0.500 [1 per cell]

- DFT total energy (eV/atom) = -6.4684


Record 12
Compound: NaAlAsH2
Source: the Alexandria database
Functional: PBE-GGA
Structure: optimized geometry

a b c (Å): 4.268 11.129 6.023
angles (deg): 90.00 90.00 90.00
Space group Cmcm (No. 63)
Asymmetric unit:
Na 0.000 0.220 0.250 [4 per cell]
Al 0.000 0.500 0.000 [4 per cell]
As 0.000 0.052 0.750 [4 per cell]
H 0.000 0.352 0.545 [8 per cell]

- DFT total energy (eV/atom) = -3.3652